Material: Al2CrS
Method: DFT, PBE
State: relaxed Values from VASP.

Summary:
Its space group is I-42d (122).

The structure in Quantum ESPRESSO input format:
```
&SYSTEM
  ibrav = 0, nat = 8, ntyp = 3
/
ATOMIC_SPECIES
Cr 52.00 Cr.upf
S 32.06 S.upf
Al 26.98 Al.upf
ATOMIC_POSITIONS crystal
Cr 0.0000 0.0000 0.0000
Cr 0.7500 0.2500 0.5000
S 0.5000 0.5000 0.0000
S 0.2500 0.7500 0.5000
Al 0.5951 0.1250 0.2500
Al 0.1549 0.6250 0.2500
Al 0.3750 0.4049 0.7500
Al 0.8750 0.8451 0.7500
CELL_PARAMETERS angstrom
-0.1860 7.0079 -1.1711
-4.8441 -0.9821 -5.1075
-4.4916 3.2656 -1.3132
```

Material: AlCr4S8
Method: DFT, PBE
State: relaxed Values from VASP.

Summary:
Its space group is F-43m (216).

The structure in Quantum ESPRESSO input format:
```
&SYSTEM
  ibrav = 0, nat = 13, ntyp = 3
/
ATOMIC_SPECIES
Al 26.98 Al.upf
Cr 52.00 Cr.upf
S 32.06 S.upf
ATOMIC_POSITIONS crystal
Al 0.7500 0.7500 0.7500
Cr 0.8977 0.3674 0.3674
Cr 0.3674 0.8977 0.3674
Cr 0.3674 0.3674 0.8977
Cr 0.3674 0.3674 0.3674
S 0.6049 0.1317 0.1317
S 0.1317 0.6049 0.1317
S 0.1317 0.1317 0.6049
S 0.1317 0.1317 0.1317
S 0.1509 0.6164 0.6164
S 0.6164 0.1509 0.6164
S 0.6164 0.6164 0.1509
S 0.6164 0.6164 0.6164
CELL_PARAMETERS angstrom
-3.3247 3.0429 5.3496
-4.5996 -3.6570 3.7949
1.5517 -1.8206 6.5733
```

Material: SrAlCr2S6
Method: DFT, PBE
State: relaxed Values from VASP.

Summary:
Its space group is R3 (146).

The structure in Quantum ESPRESSO input format:
```
&SYSTEM
  ibrav = 0, nat = 10, ntyp = 4
/
ATOMIC_SPECIES
Sr 87.62 Sr.upf
Al 26.98 Al.upf
Cr 52.00 Cr.upf
S 32.06 S.upf
ATOMIC_POSITIONS crystal
Sr 0.7856 0.7856 0.6433
Al 0.3194 0.3194 0.0418
Cr 0.5232 0.5232 0.4303
Cr 0.0115 0.0115 0.9655
S 0.6091 0.2574 0.2271
S 0.2574 0.9064 0.2271
S 0.9064 0.6091 0.2271
S 0.3284 0.7304 0.7510
S 0.7304 0.1902 0.7510
S 0.1902 0.3284 0.7510
CELL_PARAMETERS angstrom
6.3733 0.0000 0.0001
3.1866 5.5195 0.0000
3.1864 1.8400 5.4960
```

Calculated formation energy (no corrections), 0.47, -9.71, -8.89 eV/f.u. (same order as the records).
Calculated total magnetic moment, 7.791, 11.001, 5.000 μB/cell (same order as the records).